Entry 1:
DFT (GGA-PBE) results for a geometry-optimized LiCa2MoN4 structure.

a b c (Å): 7.7157 6.3724 5.1927
angles (deg): 90.00 90.00 90.00
Fractional coordinates of all 16 atoms:
Li  0.0000  0.1504  0.0000
Li  0.5000  0.8496  0.5000
Ca  0.2451  0.3119  0.4765
Ca  0.2549  0.6881  0.9765
Ca  0.7451  0.6881  0.9765
Ca  0.7549  0.3119  0.4765
Mo  0.0000  0.8343  0.5152
Mo  0.5000  0.1657  0.0152
N  0.0000  0.1121  0.3925
N  0.0000  0.8541  0.8678
N  0.2093  0.6862  0.4466
N  0.2907  0.3138  0.9466
N  0.5000  0.1459  0.3678
N  0.5000  0.8879  0.8925
N  0.7093  0.3138  0.9466
N  0.7907  0.6862  0.4466

Results
Magnetic moment, μB per cell: 2.08
E_form (uncorrected), meV/atom: -668
E, eV/atom: -6.9244



Entry 2:
DFT (GGA-PBE) results for a geometry-optimized LiCaMo2N structure.

a b c (Å): 4.5715 4.5715 3.5781
angles (deg): 90.00 90.00 90.00
Fractional coordinates of all 5 atoms:
Li  0.0000  0.0000  0.0000
Ca  0.5000  0.5000  0.5000
Mo  0.0000  0.5000  0.0000
Mo  0.5000  0.0000  0.0000
N  0.0000  0.0000  0.5000

Results
Magnetic moment, μB per cell: 0.00
E_form (uncorrected), meV/atom: 1675
E, eV/atom: -5.1056